(1)
MnIn2P after structural relaxation. Source: Alexandria, functional PBEsol.

For the magnetization, the calculation gives 3.8 μB per formula unit. The electronic total energy comes out at -5.000 eV per atom.

The space group is I4/mmm (No. 139) and the conventional cell measures 4.0239, 4.0239 and 9.2870 Å, with angles of 90.00, 90.00 and 90.00 degrees. The asymmetric unit holds Mn at (0.0000, 0.0000, 0.0000), In at (0.0000, 0.5000, 0.2500) and P at (0.0000, 0.0000, 0.5000).

---

(2)
Zr2N2O after structural relaxation. Source: Alexandria, functional PBEsol.

As for the energy relative to the elements, uncorrected: -2173 meV/atom. For the magnetization, the calculation gives 0.0 μB per formula unit. The electronic total energy comes out at -10.270 eV per atom.

The space group is P2_1/m (No. 11) and the conventional cell measures 4.3073, 3.4401 and 8.6072 Å, with angles of 90.00, 101.02 and 90.00 degrees. The asymmetric unit holds Zr at (0.1189, 0.2500, 0.1722), Zr at (0.2915, 0.2500, 0.6066), N at (0.2137, 0.7500, 0.4015), N at (0.3324, 0.7500, 0.7498) and O at (0.1879, 0.7500, 0.0621).

---

(3)
TaMo2ICl after structural relaxation. Source: Alexandria, functional PBEsol.

As for the energy relative to the elements, uncorrected: 2400 meV/atom. For the magnetization, the calculation gives 0.3 μB per formula unit. The electronic total energy comes out at -5.572 eV per atom.

The space group is P4/mmm (No. 123) and the conventional cell measures 4.8655, 4.8655 and 5.0460 Å, with angles of 90.00, 90.00 and 90.00 degrees. The asymmetric unit holds Ta at (0.0000, 0.0000, 0.0000), Mo at (0.0000, 0.5000, 0.5000), I at (0.0000, 0.0000, 0.5000) and Cl at (0.5000, 0.5000, 0.0000).

---

(4)
LiCa3Hf after structural relaxation. Source: Alexandria, functional PBEsol.

For the magnetization, the calculation gives 2.9 μB per formula unit. The electronic total energy comes out at -2.838 eV per atom.

The space group is Pm-3m (No. 221) and the conventional cell measures 5.9849, 5.9849 and 5.9849 Å, with angles of 90.00, 90.00 and 90.00 degrees. The asymmetric unit holds Li at (0.0000, 0.0000, 0.0000), Ca at (0.0000, 0.5000, 0.5000) and Hf at (0.5000, 0.5000, 0.5000).